Entry 1:
# HfReBr2 | Alexandria | PBE | relaxed
# Formation energy (no corrections): 1.228 eV per atom
# E above lowest polymorph: 3.23 eV/f.u.
# M_tot: 0.00 μB/atom
# Raw total energy: -5.21 eV per atom
data_HfReBr2
_cell_length_a 6.026
_cell_length_b 6.026
_cell_length_c 10.709
_cell_angle_alpha 90.00
_cell_angle_beta 90.00
_cell_angle_gamma 90.00
_space_group_name_H-M_alt 'I -4 2 d'
_space_group_IT_number 122
_space_group_name_Hall 'I -4 2bw'
loop_
_atom_site_label
_atom_site_type_symbol
_atom_site_fract_x
_atom_site_fract_y
_atom_site_fract_z
Hf1 Hf 0.000 0.000 0.000
Re1 Re 0.000 0.000 0.500
Br1 Br 0.225 0.250 0.625


Entry 2:
# AlCrSb2 | Alexandria | PBE | relaxed
# Formation energy (no corrections): 0.331 eV per atom
# M_tot: 0.94 μB/atom
# Raw total energy: -5.07 eV per atom
data_AlCrSb2
_cell_length_a 4.726
_cell_length_b 4.726
_cell_length_c 3.849
_cell_angle_alpha 90.00
_cell_angle_beta 90.00
_cell_angle_gamma 90.00
_space_group_name_H-M_alt 'P 4/m m m'
_space_group_IT_number 123
_space_group_name_Hall '-P 4 2'
loop_
_atom_site_label
_atom_site_type_symbol
_atom_site_fract_x
_atom_site_fract_y
_atom_site_fract_z
Al1 Al 0.000 0.000 0.000
Cr1 Cr 0.500 0.500 0.000
Sb1 Sb 0.000 0.500 0.500


Entry 3:
# NdErHgIr | Alexandria | PBE | relaxed
# Formation energy: -2.2 eV per formula unit
# M_tot: 0.00 μB/atom
# Raw total energy: -5.18 eV per atom
data_NdErHgIr
_cell_length_a 7.218
_cell_length_b 7.218
_cell_length_c 7.218
_cell_angle_alpha 90.00
_cell_angle_beta 90.00
_cell_angle_gamma 90.00
_space_group_name_H-M_alt 'F -4 3 m'
_space_group_IT_number 216
_space_group_name_Hall 'F -4 2 3'
loop_
_atom_site_label
_atom_site_type_symbol
_atom_site_fract_x
_atom_site_fract_y
_atom_site_fract_z
Nd1 Nd 0.000 0.000 0.000
Er1 Er 0.000 0.000 0.500
Hg1 Hg 0.250 0.250 0.250
Ir1 Ir 0.250 0.250 0.750


Entry 4:
# SiB2PC | Alexandria | PBE | relaxed
# Formation energy (no corrections): 0.287 eV per atom
# E above lowest polymorph: 0.87 eV/f.u.
# M_tot: 0.00 μB/atom
# Raw total energy: -6.40 eV per atom
data_SiB2PC
_cell_length_a 2.922
_cell_length_b 4.492
_cell_length_c 5.042
_cell_angle_alpha 74.67
_cell_angle_beta 88.50
_cell_angle_gamma 80.57
_space_group_name_H-M_alt 'P 1'
_space_group_IT_number 1
loop_
_space_group_symop_operation_xyz
'x,y,z'
loop_
_atom_site_label
_atom_site_type_symbol
_atom_site_fract_x
_atom_site_fract_y
_atom_site_fract_z
Si1 Si 0.000 0.000 0.000
B1 B 0.338 0.629 0.360
B2 B 0.849 0.469 0.961
P1 P 0.304 0.668 0.737
C1 C 0.861 0.580 0.243